Entry 1:
K2AgSn: optimized geometry, PBE.

Lattice parameters (Å, degrees): 12.359 12.359 12.359 17.12 17.12 17.12
Positions (direct):
K: 0.095 0.095 0.095
K: 0.905 0.905 0.905
Ag: 0.500 0.500 0.500
Sn: 0.000 0.000 0.000

Results
The uncorrected energy comes out at -7.87 eV per cell. As for the space group: No. 166. As for the formation energy: 1.17 eV/f.u.



Entry 2:
KAg3Sn6: optimized geometry, PBE.

Lattice parameters (Å, degrees): 8.271 7.430 9.728 90.00 118.32 90.00
Positions (direct):
K: 0.000 0.000 0.000
K: 0.000 0.500 0.500
Ag: 0.267 0.188 0.475
Ag: 0.267 0.312 0.975
Ag: 0.500 0.000 0.000
Ag: 0.500 0.500 0.500
Ag: 0.733 0.688 0.025
Ag: 0.733 0.812 0.525
Sn: 0.132 0.061 0.688
Sn: 0.132 0.439 0.188
Sn: 0.259 0.691 0.864
Sn: 0.259 0.809 0.364
Sn: 0.470 0.127 0.289
Sn: 0.470 0.373 0.789
Sn: 0.530 0.627 0.211
Sn: 0.530 0.873 0.711
Sn: 0.741 0.191 0.636
Sn: 0.741 0.309 0.136
Sn: 0.868 0.561 0.812
Sn: 0.868 0.939 0.312

Results
The uncorrected energy comes out at -67.09 eV per cell. As for the space group: No. 14. As for the formation energy: 0.12 eV/f.u.



Entry 3:
KAg2Sn2: optimized geometry, PBE.

Lattice parameters (Å, degrees): 9.027 9.027 3.089 90.00 90.00 90.00
Positions (direct):
K: 0.000 0.000 0.000
K: 0.500 0.500 0.000
Ag: 0.142 0.358 0.000
Ag: 0.358 0.858 0.000
Ag: 0.642 0.142 0.000
Ag: 0.858 0.642 0.000
Sn: 0.149 0.649 0.500
Sn: 0.351 0.149 0.500
Sn: 0.649 0.851 0.500
Sn: 0.851 0.351 0.500

Results
The uncorrected energy comes out at -30.13 eV per cell. As for the space group: No. 127. As for the formation energy: -0.26 eV/f.u.



no.,total magnetic moment (μB/cell)
1,0.00
2,0.00
3,0.00